(1)
The following is a DFT calculation (PBE) of a relaxed structure of Gd3HgRu.

Calculated values
VASP energy = -0.7751 Ry/atom
magnetization = 21.52 μB/f.u.
calculated volume = 152.9 Å³/cell
ρ = 8.402 Mg/m³
crystal system = cubic

```
Gd3HgRu
1.0
5.347 0.000 0.000
0.000 5.347 0.000
0.000 0.000 5.347
Ru Gd Hg
1 3 1
Cartesian
0.000 0.000 0.000 Ru
0.000 2.673 0.000 Gd
0.000 0.000 2.673 Gd
2.673 0.000 0.000 Gd
2.673 2.673 2.673 Hg
```

***

(2)
The following is a DFT calculation (PBE) of a relaxed structure of La2InH12Rh3.

Calculated values
VASP energy = -0.3215 Ry/atom
magnetization = 0.00 μB/f.u.
calculated volume = 175.2 Å³/cell
ρ = 6.761 Mg/m³
crystal system = trigonal

```
La2InH12Rh3
1.0
6.135 -0.153 -0.108
2.897 5.410 -0.108
2.897 1.686 5.141
La In H Rh
2 1 12 3
Cartesian
7.341 4.273 3.031 La
4.588 2.670 1.894 La
0.000 0.000 0.000 In
5.436 3.164 4.409 H
9.090 5.291 1.857 H
7.534 6.175 4.380 H
7.212 2.155 1.529 H
9.090 3.501 4.380 H
5.436 5.207 1.529 H
6.493 3.779 0.516 H
2.839 1.652 3.068 H
4.395 0.769 0.545 H
4.717 4.788 3.396 H
2.839 3.442 0.545 H
6.493 1.737 3.396 H
3.067 -0.076 -0.054 Rh
1.448 2.705 -0.054 Rh
1.448 0.843 2.571 Rh
```